1.
Here is a relaxed PrSm2NpAs4 crystal from Alexandria via LeMat-Bulk. Energies are from PBE.

abc: 4.205 7.295 7.290
angles: 109.32 90.00 90.00
Site moments in Bohr magnetons follow the coordinates.
Sites, in units of the cell vectors:
Pr1 0.500 0.500 0.000  -0.02
Sm1 0.500 0.000 0.500  -0.02
Sm2 0.000 0.500 0.500  -0.02
Np1 0.000 0.000 0.000  -3.68
As1 0.500 0.242 0.246  0.06
As2 0.500 0.758 0.754  0.06
As3 0.000 0.242 0.751  0.04
As4 0.000 0.758 0.249  0.04

Results
E_form: -1.295 eV/atom
Electronic total energy: -56.120 eV per cell

=====

2.
Here is a relaxed Sr3Pr2NpAs6 crystal from Alexandria via LeMat-Bulk. Energies are from PBE.

abc: 7.491 7.491 7.606
angles: 99.51 99.51 119.96
Site moments in Bohr magnetons follow the coordinates.
Sites, in units of the cell vectors:
Sr1 0.171 0.829 0.500  -0.02
Sr2 0.829 0.171 0.500  -0.02
Sr3 0.500 0.500 0.500  -0.02
Pr1 0.334 0.666 0.000  -0.03
Pr2 0.666 0.334 0.000  -0.03
Np1 0.000 0.000 0.000  2.49
As1 0.926 0.615 0.777  -0.10
As2 0.765 0.765 0.222  -0.10
As3 0.074 0.385 0.223  -0.10
As4 0.615 0.926 0.777  -0.10
As5 0.235 0.235 0.778  -0.10
As6 0.385 0.074 0.223  -0.10

Results
E_form: -1.134 eV/atom
Electronic total energy: -69.051 eV per cell